Below is GdTlW2O8 after structural relaxation, with properties calculated at the PBE+U level.

Calculated values
As for the density: 8.33 Mg/m³. The value obtained for the uncorrected energy is -194.9 eV/cell. The value obtained for the density of states at the Fermi level is 0.0 states/eV per cell.

Lattice parameters (Å, degrees): 7.734 7.734 7.510 62.37 62.37 88.64
Each line ends with the local moment (μB).
Positions (direct):
1 Gd 0.776 0.224 0.750  6.93
2 Gd 0.224 0.776 0.250  6.93
3 Tl 0.213 0.787 0.750  0.00
4 Tl 0.787 0.213 0.250  0.00
5 W 0.699 0.690 0.785  0.01
6 W 0.301 0.310 0.215  0.01
7 W 0.310 0.301 0.715  0.01
8 W 0.690 0.699 0.285  0.01
9 O 0.624 0.750 0.559  0.00
10 O 0.376 0.250 0.441  0.00
11 O 0.250 0.376 0.941  0.00
12 O 0.750 0.624 0.059  0.00
13 O 0.366 0.061 0.874  0.00
14 O 0.634 0.939 0.126  0.00
15 O 0.939 0.634 0.626  0.00
16 O 0.061 0.366 0.374  0.00
17 O 0.591 0.374 0.966  0.00
18 O 0.409 0.626 0.034  0.00
19 O 0.626 0.409 0.534  0.00
20 O 0.374 0.591 0.466  0.00
21 O 0.772 0.954 0.694  0.00
22 O 0.228 0.046 0.306  0.00
23 O 0.046 0.228 0.806  0.00
24 O 0.954 0.772 0.194  0.00